# 1
The following is a PBE calculation of a geometry-optimized ZrTc2NiC structure, from Alexandria.

Calculated values
Space group = No. 123
Formation energy from the elements = -0.216 eV/atom

a = 4.185 Å, b = 4.185 Å, c = 3.829 Å
α = 90.00°, β = 90.00°, γ = 90.00°
Sites, in units of the cell vectors:
Zr 0.000 0.000 0.000
Tc 0.000 0.500 0.500
Tc 0.500 0.000 0.500
Ni 0.500 0.500 0.000
C 0.500 0.500 0.500



# 2
The following is a PBE calculation of a geometry-optimized UCuAu structure, from Alexandria.

Calculated values
Space group = No. 107
Formation energy from the elements = 0.056 eV/atom

a = 6.059 Å, b = 6.059 Å, c = 6.059 Å
α = 149.81°, β = 149.81°, γ = 43.22°
Sites, in units of the cell vectors:
U 0.000 0.000 0.000
Cu 0.326 0.326 0.000
Au 0.694 0.694 0.000



# 3
The following is a PBE calculation of a geometry-optimized KCu3As2O10 structure, from Alexandria.

Calculated values
Formation energy from raw total energies = -83.9 kJ per mole of atoms
Space group = No. 12

a = 5.853 Å, b = 5.853 Å, c = 8.953 Å
α = 116.00°, β = 116.00°, γ = 59.47°
Sites, in units of the cell vectors:
K 0.000 0.000 0.000
Cu 0.000 0.000 0.500
Cu 0.000 0.500 0.500
Cu 0.500 0.000 0.500
As 0.419 0.419 0.251
As 0.581 0.581 0.749
O 0.214 0.717 0.647
O 0.220 0.220 0.605
O 0.278 0.278 0.298
O 0.283 0.786 0.353
O 0.371 0.371 0.043
O 0.629 0.629 0.957
O 0.717 0.214 0.647
O 0.722 0.722 0.702
O 0.780 0.780 0.395
O 0.786 0.283 0.353



| no. | M_tot (μB per atom) | calculated volume (A^3/atom) |
| --- | --- | --- |
| 1 | 0.0000 | 13.41 |
| 2 | 0.9594 | 18.70 |
| 3 | 0.1243 | 14.25 |